(1)
# GGA-PBE Li5Hg3, optimized geometry
data_Li5Hg3
_chemical_formula_sum 'Li20 Hg12'
_cell_length_a 5.439
_cell_length_b 14.946
_cell_length_c 7.899
_cell_angle_alpha 90.00
_cell_angle_beta 109.82
_cell_angle_gamma 90.00
_symmetry_space_group_name_H-M 'C 1 2/m 1'
_symmetry_Int_Tables_number 12
_symmetry_space_group_name_Hall '-C 2y'
loop_
_atom_site_label
_atom_site_type_symbol
_atom_site_fract_x
_atom_site_fract_y
_atom_site_fract_z
Li1 Li 0.090 0.175 0.192
Li2 Li 0.135 0.402 0.353
Li3 Li 0.242 0.500 0.980
Hg1 Hg 0.000 0.232 0.500
Hg2 Hg 0.000 0.337 0.000
Hg3 Hg 0.106 0.000 0.330
# Energy above the lowest structure with this stoichiometry, meV per atom: 32.9
# Calculated density, kg/m3: 6998

***

(2)
# GGA-PBE KCe2Ru, optimized geometry
data_KCe2Ru
_chemical_formula_sum 'K3 Ce6 Ru3'
_cell_length_a 4.0479
_cell_length_b 4.0479
_cell_length_c 33.1760
_cell_angle_alpha 90.00
_cell_angle_beta 90.00
_cell_angle_gamma 120.00
_symmetry_space_group_name_H-M 'R -3 m'
_symmetry_Int_Tables_number 166
_symmetry_space_group_name_Hall '-R 3 2"'
loop_
_atom_site_label
_atom_site_type_symbol
_atom_site_fract_x
_atom_site_fract_y
_atom_site_fract_z
K1 K 0.0000 0.0000 0.0000
Ce1 Ce 0.0000 0.0000 0.1224
Ru1 Ru 0.0000 0.0000 0.5000
# Calculated density, kg/m3: 4449
# Total energy, eV per atom: -5.533

***

Q: The highest calculated density belongs to which entry?
A: Li5Hg3